Mg5Cd4Ga | PBE | optimized geometry

Cell: 3.546 3.546 16.808 Å, 90.00 90.00 90.00°
Fractional coordinates of all 10 atoms:
Mg1 0.500 0.500 0.094
Mg2 0.500 0.500 0.299
Mg3 0.500 0.500 0.500
Mg4 0.500 0.500 0.701
Mg5 0.500 0.500 0.906
Cd1 0.000 0.000 0.197
Cd2 0.000 0.000 0.400
Cd3 0.000 0.000 0.600
Cd4 0.000 0.000 0.803
Ga1 0.000 0.000 0.000

Summary:
Its crystal system is tetragonal. For the density of states at the Fermi level, the calculation gives 0.354 states/eV/atom. The value obtained for the formation energy from the elements is -97 meV/atom.

***

Ac2La2Pr15 | PBE | optimized geometry

Cell: 9.121 9.121 9.121 Å, 79.96 79.96 79.96°
Fractional coordinates of all 19 atoms:
Ac1 0.900 0.900 0.900
Ac2 0.100 0.100 0.100
La1 0.672 0.672 0.672
La2 0.328 0.328 0.328
Pr1 0.000 0.500 0.000
Pr2 0.000 0.000 0.500
Pr3 0.500 0.000 0.000
Pr4 0.303 0.000 0.697
Pr5 0.697 0.303 0.000
Pr6 0.000 0.697 0.303
Pr7 0.303 0.697 0.000
Pr8 0.000 0.303 0.697
Pr9 0.697 0.000 0.303
Pr10 0.372 0.843 0.372
Pr11 0.372 0.372 0.843
Pr12 0.843 0.372 0.372
Pr13 0.628 0.157 0.628
Pr14 0.628 0.628 0.157
Pr15 0.157 0.628 0.628

Summary:
Its crystal system is trigonal. For the density of states at the Fermi level, the calculation gives 1.688 states/eV/atom. The value obtained for the formation energy from the elements is 229 meV/atom.